## w
This record from the Open Quantum Materials Database describes a relaxed structure of CsHfIr. The functional is PBE.

CIF file:
```
data_CsHfIr
_chemical_formula_sum 'Cs4 Hf4 Ir4'
_space_group_name_H-M_alt 'F -4 3 m'
_space_group_IT_number 216
_space_group_name_Hall 'F -4 2 3'
_cell_length_a 6.6482
_cell_length_b 6.6482
_cell_length_c 6.6482
_cell_angle_alpha 90.00
_cell_angle_beta 90.00
_cell_angle_gamma 90.00
loop_
_atom_site_label
_atom_site_type_symbol
_atom_site_fract_x
_atom_site_fract_y
_atom_site_fract_z
Cs1 Cs 0.0000 0.0000 0.0000
Hf1 Hf 0.2500 0.2500 0.7500
Ir1 Ir 0.2500 0.2500 0.2500
```

## x
This record from the Open Quantum Materials Database describes a relaxed structure of CsHfIr. The functional is PBE.

CIF file:
```
data_CsHfIr
_chemical_formula_sum 'Cs4 Hf4 Ir4'
_space_group_name_H-M_alt 'F -4 3 m'
_space_group_IT_number 216
_space_group_name_Hall 'F -4 2 3'
_cell_length_a 6.8952
_cell_length_b 6.8952
_cell_length_c 6.8952
_cell_angle_alpha 90.00
_cell_angle_beta 90.00
_cell_angle_gamma 90.00
loop_
_atom_site_label
_atom_site_type_symbol
_atom_site_fract_x
_atom_site_fract_y
_atom_site_fract_z
Cs1 Cs 0.0000 0.0000 0.0000
Hf1 Hf 0.0000 0.0000 0.5000
Ir1 Ir 0.2500 0.2500 0.2500
```

Most favorable first, least favorable last: x, w

## w
This record from the Open Quantum Materials Database describes a relaxed structure of CsKHf. The functional is PBE.

CIF file:
```
data_CsKHf
_chemical_formula_sum 'Cs4 K4 Hf4'
_space_group_name_H-M_alt 'F -4 3 m'
_space_group_IT_number 216
_space_group_name_Hall 'F -4 2 3'
_cell_length_a 9.1151
_cell_length_b 9.1151
_cell_length_c 9.1151
_cell_angle_alpha 90.00
_cell_angle_beta 90.00
_cell_angle_gamma 90.00
loop_
_atom_site_label
_atom_site_type_symbol
_atom_site_fract_x
_atom_site_fract_y
_atom_site_fract_z
Cs1 Cs 0.0000 0.0000 0.0000
K1 K 0.0000 0.0000 0.5000
Hf1 Hf 0.2500 0.2500 0.2500
```

## x
This record from the Open Quantum Materials Database describes a relaxed structure of CsKHf. The functional is PBE.

CIF file:
```
data_CsKHf
_chemical_formula_sum 'Cs4 K4 Hf4'
_space_group_name_H-M_alt 'F -4 3 m'
_space_group_IT_number 216
_space_group_name_Hall 'F -4 2 3'
_cell_length_a 8.9451
_cell_length_b 8.9451
_cell_length_c 8.9451
_cell_angle_alpha 90.00
_cell_angle_beta 90.00
_cell_angle_gamma 90.00
loop_
_atom_site_label
_atom_site_type_symbol
_atom_site_fract_x
_atom_site_fract_y
_atom_site_fract_z
Cs1 Cs 0.0000 0.0000 0.0000
K1 K 0.2500 0.2500 0.2500
Hf1 Hf 0.2500 0.2500 0.7500
```

Most favorable first, least favorable last: w, x

## w
This record from the Open Quantum Materials Database describes a relaxed structure of CsLiHf. The functional is PBE.

CIF file:
```
data_CsLiHf
_chemical_formula_sum 'Cs4 Li4 Hf4'
_space_group_name_H-M_alt 'F -4 3 m'
_space_group_IT_number 216
_space_group_name_Hall 'F -4 2 3'
_cell_length_a 7.7079
_cell_length_b 7.7079
_cell_length_c 7.7079
_cell_angle_alpha 90.00
_cell_angle_beta 90.00
_cell_angle_gamma 90.00
loop_
_atom_site_label
_atom_site_type_symbol
_atom_site_fract_x
_atom_site_fract_y
_atom_site_fract_z
Cs1 Cs 0.0000 0.0000 0.0000
Li1 Li 0.2500 0.2500 0.2500
Hf1 Hf 0.0000 0.0000 0.5000
```

## x
This record from the Open Quantum Materials Database describes a relaxed structure of CsLiHf. The functional is PBE.

CIF file:
```
data_CsLiHf
_chemical_formula_sum 'Cs4 Li4 Hf4'
_space_group_name_H-M_alt 'F -4 3 m'
_space_group_IT_number 216
_space_group_name_Hall 'F -4 2 3'
_cell_length_a 7.5258
_cell_length_b 7.5258
_cell_length_c 7.5258
_cell_angle_alpha 90.00
_cell_angle_beta 90.00
_cell_angle_gamma 90.00
loop_
_atom_site_label
_atom_site_type_symbol
_atom_site_fract_x
_atom_site_fract_y
_atom_site_fract_z
Cs1 Cs 0.0000 0.0000 0.0000
Li1 Li 0.2500 0.2500 0.2500
Hf1 Hf 0.2500 0.2500 0.7500
```

Most favorable first, least favorable last: w, x

## w
This record from the Open Quantum Materials Database describes a relaxed structure of CsLiHfS3. The functional is PBE.

CIF file:
```
data_CsLiHfS3
_chemical_formula_sum 'Cs4 Li4 Hf4 S12'
_space_group_name_H-M_alt 'P n m a'
_space_group_IT_number 62
_cell_length_a 15.5034
_cell_length_b 3.8381
_cell_length_c 10.2741
_cell_angle_alpha 90.00
_cell_angle_beta 90.00
_cell_angle_gamma 90.00
loop_
_space_group_symop_operation_xyz
'x,y,z'
'-x,-y,-z'
'-x+1/2,-y,z+1/2'
'x+1/2,y,-z+1/2'
'x+1/2,-y+1/2,-z+1/2'
'-x+1/2,y+1/2,z+1/2'
'-x,y+1/2,-z'
'x,-y+1/2,z'
loop_
_atom_site_label
_atom_site_type_symbol
_atom_site_fract_x
_atom_site_fract_y
_atom_site_fract_z
Cs1 Cs 0.2315 0.2500 0.0266
Li1 Li 0.0148 0.7500 0.0907
Hf1 Hf 0.0122 0.2500 0.3356
S1 S 0.0707 0.7500 0.8680
S2 S 0.0824 0.2500 0.5686
S3 S 0.1137 0.7500 0.2685
```

## x
This record from the Open Quantum Materials Database describes a relaxed structure of CsLiHfS3. The functional is PBE.

CIF file:
```
data_CsLiHfS3
_chemical_formula_sum 'Cs4 Li4 Hf4 S12'
_space_group_name_H-M_alt 'C m c m'
_space_group_IT_number 63
_space_group_name_Hall '-C 2c 2'
_cell_length_a 3.8098
_cell_length_b 15.2351
_cell_length_c 9.9997
_cell_angle_alpha 90.00
_cell_angle_beta 90.00
_cell_angle_gamma 90.00
loop_
_atom_site_label
_atom_site_type_symbol
_atom_site_fract_x
_atom_site_fract_y
_atom_site_fract_z
Cs1 Cs 0.0000 0.2387 0.2500
Li1 Li 0.0000 0.0419 0.7500
Hf1 Hf 0.0000 0.5000 0.0000
S1 S 0.0000 0.1107 0.5419
S2 S 0.0000 0.4542 0.7500
```

Most favorable first, least favorable last: w, x